(1)
YMgPt2 | GGA-PBE | optimized geometry

Results
Mass density in kg/m³: 8917
Formation energy in eV per atom: -0.401

a = 4.7336 Å, b = 4.7336 Å, c = 9.0122 Å
α = 74.77°, β = 74.77°, γ = 90.00°
Atoms (fractional coordinates):
Y: 0.0000 0.0000 0.0000
Y: 0.7500 0.2500 0.5000
Mg: 0.5000 0.5000 0.0000
Mg: 0.2500 0.7500 0.5000
Pt: 0.5245 0.1250 0.2500
Pt: 0.2255 0.6250 0.2500
Pt: 0.3750 0.4755 0.7500
Pt: 0.8750 0.7745 0.7500

=====

(2)
Ho5Ag4Sn | GGA-PBE | optimized geometry

Results
Mass density in kg/m³: 9427
Formation energy in eV per atom: -0.385

a = 3.5674 Å, b = 3.5674 Å, c = 19.0301 Å
α = 90.00°, β = 90.00°, γ = 90.00°
Atoms (fractional coordinates):
Ho: 0.5000 0.5000 0.1095
Ho: 0.5000 0.5000 0.3053
Ho: 0.5000 0.5000 0.5000
Ho: 0.5000 0.5000 0.6947
Ho: 0.5000 0.5000 0.8905
Ag: 0.0000 0.0000 0.2096
Ag: 0.0000 0.0000 0.4018
Ag: 0.0000 0.0000 0.5982
Ag: 0.0000 0.0000 0.7904
Sn: 0.0000 0.0000 0.0000

=====

(3)
Sr2TaMn | GGA-PBE | optimized geometry

Results
Mass density in kg/m³: 6152
Formation energy in eV per atom: 1.081

a = 5.1176 Å, b = 3.2905 Å, c = 7.3675 Å
α = 63.44°, β = 90.00°, γ = 90.00°
Atoms (fractional coordinates):
Mn: 0.5000 0.7500 0.7500
Sr: 0.0000 0.9976 0.0017
Sr: 0.0000 0.5024 0.4983
Ta: 0.5000 0.2500 0.2500

=====

(4)
CePm4Pr3 | GGA-PBE | optimized geometry

Results
Mass density in kg/m³: 6795
Formation energy in eV per atom: 0.223

a = 3.4934 Å, b = 6.2175 Å, c = 13.0347 Å
α = 95.43°, β = 97.70°, γ = 90.00°
Atoms (fractional coordinates):
Pr: 0.0000 0.5000 0.0000
Pr: 0.1452 0.7363 0.2904
Pr: 0.8548 0.2637 0.7096
Ce: 0.5000 0.0000 0.0000
Pm: 0.7207 0.2375 0.4413
Pm: 0.2793 0.7625 0.5587
Pm: 0.1043 0.2192 0.2086
Pm: 0.8957 0.7808 0.7914

=====

(5)
CeNd2Ni2 | GGA-PBE | optimized geometry

Results
Mass density in kg/m³: 7605
Formation energy in eV per atom: -0.267

a = 6.2601 Å, b = 6.2566 Å, c = 7.1606 Å
α = 99.44°, β = 90.00°, γ = 120.02°
Atoms (fractional coordinates):
Ce: 0.9211 0.0000 0.2500
Ce: 0.0789 0.0000 0.7500
Nd: 0.5458 0.3038 0.1456
Nd: 0.2420 0.6962 0.3544
Nd: 0.4542 0.6962 0.8544
Nd: 0.7580 0.3038 0.6456
Ni: 0.6955 0.7046 0.4935
Ni: 0.9909 0.2954 0.0065
Ni: 0.3045 0.2954 0.5065
Ni: 0.0091 0.7046 0.9935

=====

(6)
Tb4Pr2As3N2 | GGA-PBE | optimized geometry

Results
Mass density in kg/m³: 7598
DFT total energy in eV/atom: -6.6387

a = 4.5877 Å, b = 4.5877 Å, c = 12.5784 Å
α = 100.51°, β = 100.51°, γ = 90.00°
Atoms (fractional coordinates):
Tb: 0.4210 0.9210 0.8420
Tb: 0.9210 0.4210 0.8420
Tb: 0.0790 0.5790 0.1580
Tb: 0.5790 0.0790 0.1580
Pr: 0.3038 0.3038 0.6077
Pr: 0.6962 0.6962 0.3923
As: 0.0000 0.0000 0.0000
As: 0.1729 0.1729 0.3459
As: 0.8271 0.8271 0.6541
N: 0.4032 0.4032 0.8064
N: 0.5968 0.5968 0.1936

=====

(7)
NaZn2SnRh | GGA-PBE | optimized geometry

Results
Mass density in kg/m³: 5180
Formation energy in eV per atom: -0.129

a = 4.9096 Å, b = 4.9096 Å, c = 4.9927 Å
α = 90.00°, β = 90.00°, γ = 90.00°
Atoms (fractional coordinates):
Na: 0.5000 0.5000 0.5000
Zn: 0.0000 0.5000 0.0000
Zn: 0.5000 0.0000 0.0000
Rh: 0.0000 0.0000 0.0000
Sn: 0.0000 0.0000 0.5000

=====

(8)
NdEr2Ag | GGA-PBE | optimized geometry

Results
Mass density in kg/m³: 8761
Formation energy in eV per atom: 0.020

a = 4.8525 Å, b = 4.7869 Å, c = 4.7869 Å
α = 90.00°, β = 90.00°, γ = 90.00°
Atoms (fractional coordinates):
Nd: 0.5000 0.5000 0.5000
Ag: 0.5000 0.0000 0.0000
Er: 0.0000 0.0000 0.5000
Er: 0.0000 0.5000 0.0000

=====

> Look up the mass density of the eighth one.

8761 kg/m³

=====

> Among the records above, which one has the lowest mass density?

NaZn2SnRh